(1)
First-principles (PBE) data for a geometry-optimized V4TcRh2 structure, as listed in the Alexandria database.

The size of the total moment comes out at 9.5 Bohr magnetons per cell. The total energy is -8.038 eV/atom. The formation energy is 0.75 eV per atom.

The structure belongs to space group I4/mmm (No. 139); the cell edges are 4.4688, 4.4688 and 12.4029 Å and the angles 90.00°, 90.00° and 90.00°. The inequivalent atoms are V at (0.0000, 0.0000, 0.1952), V at (0.0000, 0.5000, 0.0000), Tc at (0.0000, 0.0000, 0.0000) and Rh at (0.0000, 0.0000, 0.3852).

=====

(2)
First-principles (PBE) data for a geometry-optimized NbTeRhI2 structure, as listed in the Alexandria database.

The size of the total moment comes out at 2.7 Bohr magnetons per cell. The total energy is -3.956 eV/atom. The uncorrected formation energy comes out at 776 meV per atom.

The structure belongs to space group P4/mmm (No. 123); the cell edges are 5.2802, 5.2802 and 5.2878 Å and the angles 90.00°, 90.00° and 90.00°. The inequivalent atoms are Nb at (0.0000, 0.0000, 0.0000), Te at (0.5000, 0.5000, 0.0000), Rh at (0.5000, 0.5000, 0.5000) and I at (0.0000, 0.5000, 0.5000).

=====

(3)
First-principles (PBE) data for a geometry-optimized La4Tl2Co structure, as listed in the Alexandria database.

The size of the total moment comes out at 0.0 Bohr magnetons per cell. The total energy is -4.783 eV/atom. The formation energy is -0.28 eV per atom.

The structure belongs to space group P2_1/m (No. 11); the cell edges are 6.4951, 7.0800 and 9.8031 Å and the angles 90.00°, 102.66° and 90.00°. The inequivalent atoms are La at (0.1919, 0.2500, 0.0868), La at (0.2297, 0.0009, 0.7445), La at (0.2874, 0.7500, 0.3944), Tl at (0.1921, 0.2500, 0.4389), Tl at (0.3617, 0.7500, 0.0489) and Co at (0.0274, 0.7500, 0.1629).

=====

(4)
First-principles (PBE) data for a geometry-optimized HgH2Br structure, as listed in the Alexandria database.

The size of the total moment comes out at 4.2 Bohr magnetons per cell. The total energy is -1.134 eV/atom.

The structure belongs to space group Fm-3m (No. 225); the cell edges are 6.3022, 6.3022 and 6.3022 Å and the angles 90.00°, 90.00° and 90.00°. The inequivalent atoms are Hg at (0.0000, 0.0000, 0.0000), H at (0.2500, 0.2500, 0.2500) and Br at (0.0000, 0.0000, 0.5000).